Entry from the Alexandria database: a relaxed Sr2MgSn crystal (PBE).

The calculation puts the density at 3.37 g/cm3. As for the crystal system: tetragonal. The calculation puts the formation energy at 0.5 eV/f.u.

The space group is I-42d (No. 122) and the conventional cell measures 5.209, 5.209 and 23.135 Å, with angles of 90.00, 90.00 and 90.00 degrees. Symmetry generates all atoms from Sr at (0.238, 0.250, 0.125), Mg at (0.000, 0.000, 0.500) and Sn at (0.000, 0.000, 0.000).